1.
# GGA-PBE In5Hg12S3, optimized geometry
# total DFT energy (no corrections)	-1.411	eV per atom
# energy relative to the elements, uncorrected	0.07	eV per atom
# M_tot	0.000	μB/atom
# volume	4904.0	Å³/cell
data_In5Hg12S3
_chemical_formula_sum 'In40 Hg96 S24'
_cell_length_a 16.990
_cell_length_b 16.990
_cell_length_c 16.990
_cell_angle_alpha 90.00
_cell_angle_beta 90.00
_cell_angle_gamma 90.00
_symmetry_space_group_name_H-M 'I a -3 d'
_symmetry_Int_Tables_number 230
_symmetry_space_group_name_Hall '-I 4bd 2c 3'
loop_
_atom_site_label
_atom_site_type_symbol
_atom_site_fract_x
_atom_site_fract_y
_atom_site_fract_z
In1 In 0.000 0.000 0.000
In2 In 0.000 0.250 0.375
Hg1 Hg 0.025 0.090 0.648
S1 S 0.000 0.250 0.125


2.
# GGA-PBE In4Hg3S, optimized geometry
# total DFT energy (no corrections)	-2.099	eV per atom
# energy relative to the elements, uncorrected	-0.10	eV per atom
# M_tot	0.000	μB/atom
# volume	439.4	Å³/cell
data_In4Hg3S
_chemical_formula_sum 'In8 Hg6 S2'
_cell_length_a 9.172
_cell_length_b 12.068
_cell_length_c 3.969
_cell_angle_alpha 90.00
_cell_angle_beta 90.00
_cell_angle_gamma 90.00
_symmetry_space_group_name_H-M 'C m m m'
_symmetry_Int_Tables_number 65
_symmetry_space_group_name_Hall '-C 2 2'
loop_
_atom_site_label
_atom_site_type_symbol
_atom_site_fract_x
_atom_site_fract_y
_atom_site_fract_z
In1 In 0.000 0.230 0.000
In2 In 0.223 0.000 0.500
Hg1 Hg 0.000 0.500 0.000
Hg2 Hg 0.250 0.250 0.500
S1 S 0.000 0.000 0.000


3.
# GGA-PBE InHgS2, optimized geometry
# total DFT energy (no corrections)	-3.056	eV per atom
# energy relative to the elements, uncorrected	-0.23	eV per atom
# M_tot	0.000	μB/atom
# volume	411.5	Å³/cell
data_InHgS2
_chemical_formula_sum 'In4 Hg4 S8'
_cell_length_a 16.757
_cell_length_b 3.936
_cell_length_c 6.593
_cell_angle_alpha 90.00
_cell_angle_beta 108.88
_cell_angle_gamma 90.00
_symmetry_space_group_name_H-M 'C 1 2/c 1'
_symmetry_Int_Tables_number 15
_symmetry_space_group_name_Hall '-C 2yc'
loop_
_atom_site_label
_atom_site_type_symbol
_atom_site_fract_x
_atom_site_fract_y
_atom_site_fract_z
In1 In 0.250 0.250 0.000
Hg1 Hg 0.000 0.000 0.000
S1 S 0.160 0.245 0.592


4.
# GGA-PBE InHgS2, optimized geometry
# total DFT energy (no corrections)	-3.048	eV per atom
# energy relative to the elements, uncorrected	-0.22	eV per atom
# M_tot	0.000	μB/atom
# volume	320.8	Å³/cell
data_InHgS2
_chemical_formula_sum 'In3 Hg3 S6'
_cell_length_a 3.8693
_cell_length_b 3.8693
_cell_length_c 24.7447
_cell_angle_alpha 90.00
_cell_angle_beta 90.00
_cell_angle_gamma 120.00
_symmetry_space_group_name_H-M 'R -3 m'
_symmetry_Int_Tables_number 166
_symmetry_space_group_name_Hall '-R 3 2"'
loop_
_atom_site_label
_atom_site_type_symbol
_atom_site_fract_x
_atom_site_fract_y
_atom_site_fract_z
In1 In 0.0000 0.0000 0.0000
Hg1 Hg 0.0000 0.0000 0.5000
S1 S 0.0000 0.0000 0.3909


5.
# GGA-PBE In3HgS4, optimized geometry
# total DFT energy (no corrections)	-3.473	eV per atom
# energy relative to the elements, uncorrected	-0.35	eV per atom
# M_tot	0.000	μB/atom
# volume	904.4	Å³/cell
data_In3HgS4
_chemical_formula_sum 'In12 Hg4 S16'
_cell_length_a 14.581
_cell_length_b 6.613
_cell_length_c 10.575
_cell_angle_alpha 90.00
_cell_angle_beta 117.51
_cell_angle_gamma 90.00
_symmetry_space_group_name_H-M 'C 1 c 1'
_symmetry_Int_Tables_number 9
_symmetry_space_group_name_Hall 'C -2yc'
loop_
_atom_site_label
_atom_site_type_symbol
_atom_site_fract_x
_atom_site_fract_y
_atom_site_fract_z
In1 In 0.000 0.016 0.000
In2 In 0.287 0.402 0.087
In3 In 0.322 0.084 0.374
Hg1 Hg 0.104 0.324 0.458
S1 S 0.166 0.247 0.176
S2 S 0.304 0.284 0.873
S3 S 0.395 0.279 0.607
S4 S 0.448 0.227 0.293


6.
# GGA-PBE In2HgS3, optimized geometry
# total DFT energy (no corrections)	-3.430	eV per atom
# polymorph energy (0 for the lowest one)	0	meV per atom
# energy relative to the elements, uncorrected	-0.40	eV per atom
# M_tot	0.000	μB/atom
# volume	381.7	Å³/cell
data_In2HgS3
_chemical_formula_sum 'In4 Hg2 S6'
_cell_length_a 9.045
_cell_length_b 3.814
_cell_length_c 11.467
_cell_angle_alpha 90.00
_cell_angle_beta 105.23
_cell_angle_gamma 90.00
_symmetry_space_group_name_H-M 'P 1 21/m 1'
_symmetry_Int_Tables_number 11
_symmetry_space_group_name_Hall '-P 2yb'
loop_
_atom_site_label
_atom_site_type_symbol
_atom_site_fract_x
_atom_site_fract_y
_atom_site_fract_z
In1 In 0.045 0.250 0.131
In2 In 0.132 0.750 0.453
Hg1 Hg 0.473 0.750 0.128
S1 S 0.139 0.250 0.936
S2 S 0.161 0.250 0.613
S3 S 0.228 0.250 0.328


7.
# GGA-PBE InHg2SeS2, optimized geometry
# total DFT energy (no corrections)	-2.715	eV per atom
# energy relative to the elements, uncorrected	-0.20	eV per atom
# M_tot	0.000	μB/atom
# volume	704.6	Å³/cell
data_InHg2SeS2
_chemical_formula_sum 'In4 Hg8 Se4 S8'
_cell_length_a 13.277
_cell_length_b 7.751
_cell_length_c 6.847
_cell_angle_alpha 90.00
_cell_angle_beta 90.00
_cell_angle_gamma 90.00
_symmetry_space_group_name_H-M 'C m c 21'
_symmetry_Int_Tables_number 36
_symmetry_space_group_name_Hall 'C 2c -2'
loop_
_atom_site_label
_atom_site_type_symbol
_atom_site_fract_x
_atom_site_fract_y
_atom_site_fract_z
In1 In 0.000 0.176 0.000
Hg1 Hg 0.173 0.341 0.511
Se1 Se 0.000 0.162 0.398
S1 S 0.163 0.330 0.910


8.
# GGA-PBE InHgSeS, optimized geometry
# total DFT energy (no corrections)	-2.815	eV per atom
# energy relative to the elements, uncorrected	-0.15	eV per atom
# M_tot	0.000	μB/atom
# volume	114.8	Å³/cell
data_InHgSeS
_chemical_formula_sum 'In1 Hg1 Se1 S1'
_cell_length_a 4.1483
_cell_length_b 4.1483
_cell_length_c 7.7037
_cell_angle_alpha 90.00
_cell_angle_beta 90.00
_cell_angle_gamma 120.00
_symmetry_space_group_name_H-M 'P 3 m 1'
_symmetry_Int_Tables_number 156
_symmetry_space_group_name_Hall 'P 3 -2"'
loop_
_atom_site_label
_atom_site_type_symbol
_atom_site_fract_x
_atom_site_fract_y
_atom_site_fract_z
In1 In 0.0000 0.0000 0.0000
Hg1 Hg 0.0000 0.0000 0.3604
Se1 Se 0.3333 0.6667 0.5069
S1 S 0.6667 0.3333 0.8651


9.
# GGA-PBE InHg2Se2S, optimized geometry
# total DFT energy (no corrections)	-2.636	eV per atom
# energy relative to the elements, uncorrected	-0.23	eV per atom
# M_tot	0.000	μB/atom
# volume	736.5	Å³/cell
data_InHg2Se2S
_chemical_formula_sum 'In4 Hg8 Se8 S4'
_cell_length_a 13.549
_cell_length_b 7.855
_cell_length_c 6.919
_cell_angle_alpha 90.00
_cell_angle_beta 90.00
_cell_angle_gamma 90.00
_symmetry_space_group_name_H-M 'C m c 21'
_symmetry_Int_Tables_number 36
_symmetry_space_group_name_Hall 'C 2c -2'
loop_
_atom_site_label
_atom_site_type_symbol
_atom_site_fract_x
_atom_site_fract_y
_atom_site_fract_z
In1 In 0.000 0.158 0.000
Hg1 Hg 0.162 0.333 0.488
Se1 Se 0.162 0.326 0.895
S1 S 0.000 0.151 0.376


10.
# GGA-PBE In4SnHgS8, optimized geometry
# total DFT energy (no corrections)	-3.881	eV per atom
# energy relative to the elements, uncorrected	-0.43	eV per atom
# M_tot	0.000	μB/atom
# volume	1045.5	Å³/cell
data_In4SnHgS8
_chemical_formula_sum 'In12 Sn3 Hg3 S24'
_cell_length_a 7.9305
_cell_length_b 7.9305
_cell_length_c 19.1948
_cell_angle_alpha 90.00
_cell_angle_beta 90.00
_cell_angle_gamma 120.00
_symmetry_space_group_name_H-M 'R 3 m'
_symmetry_Int_Tables_number 160
_symmetry_space_group_name_Hall 'R 3 -2"'
loop_
_atom_site_label
_atom_site_type_symbol
_atom_site_fract_x
_atom_site_fract_y
_atom_site_fract_z
In1 In 0.0000 0.0000 0.0000
In2 In 0.0052 0.5026 0.1195
Sn1 Sn 0.0000 0.0000 0.6171
Hg1 Hg 0.0000 0.0000 0.2400
S1 S 0.0000 0.0000 0.3777
S2 S 0.0000 0.0000 0.8619
S3 S 0.0148 0.5074 0.3773
S4 S 0.1769 0.3538 0.1945


11.
# GGA-PBE In3Sn2HgS8, optimized geometry
# total DFT energy (no corrections)	-3.930	eV per atom
# energy relative to the elements, uncorrected	-0.39	eV per atom
# M_tot	0.000	μB/atom
# volume	1071.4	Å³/cell
data_In3Sn2HgS8
_chemical_formula_sum 'In9 Sn6 Hg3 S24'
_cell_length_a 7.9514
_cell_length_b 7.9514
_cell_length_c 19.5674
_cell_angle_alpha 90.00
_cell_angle_beta 90.00
_cell_angle_gamma 120.00
_symmetry_space_group_name_H-M 'R 3 m'
_symmetry_Int_Tables_number 160
_symmetry_space_group_name_Hall 'R 3 -2"'
loop_
_atom_site_label
_atom_site_type_symbol
_atom_site_fract_x
_atom_site_fract_y
_atom_site_fract_z
In1 In 0.0026 0.5013 0.0000
Sn1 Sn 0.0000 0.0000 0.5007
Sn2 Sn 0.0000 0.0000 0.8758
Hg1 Hg 0.0000 0.0000 0.1209
S1 S 0.0000 0.0000 0.2599
S2 S 0.0000 0.0000 0.7345
S3 S 0.0247 0.5124 0.2582
S4 S 0.1792 0.3583 0.0772


12.
# GGA-PBE InHgTeS, optimized geometry
# total DFT energy (no corrections)	-2.748	eV per atom
# energy relative to the elements, uncorrected	-0.17	eV per atom
# M_tot	0.000	μB/atom
# volume	248.4	Å³/cell
data_InHgTeS
_chemical_formula_sum 'In2 Hg2 Te2 S2'
_cell_length_a 6.423
_cell_length_b 3.945
_cell_length_c 9.807
_cell_angle_alpha 90.00
_cell_angle_beta 91.74
_cell_angle_gamma 90.00
_symmetry_space_group_name_H-M 'C 1 m 1'
_symmetry_Int_Tables_number 8
_symmetry_space_group_name_Hall 'C -2y'
loop_
_atom_site_label
_atom_site_type_symbol
_atom_site_fract_x
_atom_site_fract_y
_atom_site_fract_z
In1 In 0.000 0.000 0.000
Hg1 Hg 0.005 0.000 0.277
Te1 Te 0.166 0.500 0.488
S1 S 0.336 0.000 0.874